The following is a PBE-GGA calculation of LaZr2Ta2 after structural relaxation, from the Alexandria database.

Properties
- Space group: P4/mbm, No. 127
- Crystal system: tetragonal
- Theoretical density: 9.42 g cm⁻³
- E_form: 0.3407 eV/atom

```
LaZr2Ta2
1.0
8.414 0.000 0.000
0.000 8.414 0.000
0.000 0.000 3.402
Zr Ta La
4 4 2
direct
0.675 0.825 0.500
0.325 0.175 0.500
0.825 0.325 0.500
0.175 0.675 0.500
0.613 0.113 0.000
0.887 0.613 0.000
0.113 0.387 0.000
0.387 0.887 0.000
0.500 0.500 0.000
0.000 0.000 0.000
```



The following is a PBE-GGA calculation of SbP2IrO after structural relaxation, from the Alexandria database.

Properties
- Formation energy from raw total energies: 0.7272 eV per atom
- Space group: P4/mmm, No. 123
- Crystal system: tetragonal
- Theoretical density: 5.82 g cm⁻³

```
SbP2IrO
1.0
-0.127 0.810 -4.283
2.563 -3.452 -0.728
-4.752 -3.421 -0.506
P O Ir Sb
2 1 1 1
direct
0.000 0.500 0.000
0.500 0.000 0.000
0.500 0.500 0.500
0.000 0.000 0.000
0.000 0.000 0.500
```



The following is a PBE-GGA calculation of Li3Mg2Ag8 after structural relaxation, from the Alexandria database.

Properties
- Space group: R-3m, No. 166
- Crystal system: trigonal
- Theoretical density: 6.09 g cm⁻³
- E_form: -0.0328 eV/atom

```
Li3Mg2Ag8
1.0
-1.550 -5.172 -0.876
-1.455 -3.170 4.213
-10.305 0.175 0.123
Ag Li Mg
8 3 2
direct
0.223 0.724 0.329
0.726 0.726 0.823
0.276 0.276 0.671
0.276 0.777 0.671
0.724 0.724 0.329
0.724 0.223 0.329
0.777 0.276 0.671
0.274 0.274 0.177
0.000 0.000 0.000
0.814 0.814 0.558
0.186 0.186 0.442
0.636 0.636 0.093
0.364 0.364 0.907
```



no.,M_tot (μB per cell)
1,0.000
2,0.000
3,0.000